Entry 1:
A relaxed structure of Tl5Ga3Br12, computed with PBE.

Computed properties:
formation energy from raw total energies: -0.520 eV/atom
crystal system: cubic

```
80
Lattice="-9.2188 9.2188 9.2188 9.2188 -9.2188 9.2188 9.2188 9.2188 -9.2188" Properties=species:S:1:pos:R:3 pbc="T T T"
Tl 0.0000 0.0000 0.0000
Tl 4.6094 4.6094 -4.6094
Tl 4.6094 -4.6094 4.6094
Tl 9.2188 0.0000 0.0000
Tl 13.8281 2.3047 0.0000
Tl 9.2188 -4.6094 6.9141
Tl 6.9141 9.2188 -4.6094
Tl 6.9141 0.0000 4.6094
Tl 4.6094 6.9141 0.0000
Tl 9.2188 4.6094 2.3047
Tl -4.6094 4.6094 4.6094
Tl 0.0000 9.2188 0.0000
Tl 0.0000 0.0000 9.2188
Tl 4.6094 4.6094 4.6094
Tl 0.0000 4.6094 6.9141
Tl 4.6094 2.3047 9.2188
Tl 2.3047 9.2188 4.6094
Tl 2.3047 0.0000 13.8281
Tl 0.0000 13.8281 2.3047
Tl -4.6094 6.9141 9.2188
Ga 4.6094 2.3047 0.0000
Ga 9.2188 4.6094 -2.3047
Ga 2.3047 0.0000 4.6094
Ga 11.5235 0.0000 4.6094
Ga 0.0000 4.6094 2.3047
Ga 4.6094 -2.3047 9.2188
Ga 4.6094 11.5235 0.0000
Ga 9.2188 4.6094 6.9141
Ga -2.3047 9.2188 4.6094
Ga 6.9141 9.2188 4.6094
Ga 0.0000 4.6094 11.5235
Ga 4.6094 6.9141 9.2188
Br 2.9220 -0.5113 1.3032
Br 10.9061 5.9126 -5.1207
Br 8.7074 -1.3032 2.9220
Br 14.3395 -1.6873 3.3062
Br 12.1408 0.5113 1.3032
Br 10.9061 -3.3062 5.1207
Br 1.3032 2.9220 -0.5113
Br 12.5249 4.0981 -1.6873
Br 5.9126 5.1207 -1.6873
Br 7.9156 2.9220 0.5113
Br -0.5113 1.3032 2.9220
Br 5.1207 -1.6873 5.9126
Br 8.7074 7.9156 -2.9220
Br 5.1207 1.6873 3.3062
Br 7.9156 -2.9220 8.7074
Br 5.9126 -5.1207 10.9061
Br 3.3062 5.1207 1.6873
Br 10.5220 6.2967 0.5113
Br 2.9220 8.7074 -1.3032
Br 10.9061 3.3062 4.0981
Br 5.1207 10.9061 -3.3062
Br 8.7074 1.3032 6.2967
Br 1.6873 3.3062 5.1207
Br 2.9220 0.5113 7.9156
Br 6.2967 8.7074 1.3032
Br 7.5314 5.9126 4.0981
Br 0.5113 7.9156 2.9220
Br 4.0981 -1.6873 12.5249
Br -1.6873 5.9126 5.1207
Br 6.2967 0.5113 10.5220
Br -1.3032 2.9220 8.7074
Br 5.9126 4.0981 7.5314
Br 3.3062 14.3395 -1.6873
Br 1.3032 12.1408 0.5113
Br 4.0981 7.5314 5.9126
Br 0.5113 1.3032 12.1408
Br 4.0981 10.9061 3.3062
Br 9.7301 7.9156 6.2967
Br 1.3032 6.2967 8.7074
Br 3.3062 4.0981 10.9061
Br -3.3062 5.1207 10.9061
Br 7.9156 6.2967 9.7301
Br -1.6873 12.5249 4.0981
Br -2.9220 8.7074 7.9156
Br -5.1207 10.9061 5.9126
Br 0.5113 10.5220 6.2967
Br -1.6873 3.3062 14.3395
Br 6.2967 9.7301 7.9156
```

Entry 2:
A relaxed structure of Tl2GaBr2, computed with PBE.

Computed properties:
polymorph energy (0 for the lowest one): 0.092 eV/atom
formation energy from raw total energies: -0.340 eV/atom
crystal system: tetragonal

```
5
Lattice="-2.1863 2.1863 8.9777 2.1863 -2.1863 8.9777 2.1863 2.1863 -8.9777" Properties=species:S:1:pos:R:3 pbc="T T T"
Tl 2.1863 0.0000 4.4889
Tl 0.0000 2.1863 4.4889
Ga 0.0000 0.0000 0.0000
Br 0.0000 0.0000 7.2078
Br 0.0000 0.0000 10.7476
```

Entry 3:
A relaxed structure of Tl3GaBr4, computed with PBE.

Computed properties:
polymorph energy (0 for the lowest one): 0.000 eV/atom
formation energy from raw total energies: -0.773 eV/atom
crystal system: monoclinic

```
16
Lattice="8.1485 0.0000 0.0000 0.0000 9.4138 0.0000 -2.7165 0.0000 7.6596" Properties=species:S:1:pos:R:3 pbc="T T T"
Tl -0.6791 1.1621 1.9149
Tl -2.0374 3.5108 5.7447
Tl -0.6791 5.9030 1.9149
Tl -2.0374 8.2518 5.7447
Tl 3.3951 3.5069 1.9149
Tl 2.0369 5.9069 5.7447
Ga 2.0369 1.1539 5.7447
Ga 3.3951 8.2599 1.9149
Br 0.7035 3.4499 3.9026
Br 2.0618 5.9640 0.0728
Br -0.5612 1.1089 7.6384
Br 0.7970 8.3049 3.8086
Br 4.6349 1.1089 3.8510
Br 5.9932 8.3049 0.0212
Br 3.3702 3.4499 7.5867
Br 4.7284 5.9640 3.7570
```

Density of states at the Fermi level (states/eV/atom)
0.64 0.17 0.00